Below is LiGaCu2 after structural relaxation, with properties calculated at the PBE-GGA level.

Cell and atoms, written as extended XYZ:
```
16
Lattice="-2.3893 -4.4315 -3.0324 4.7126 -0.1397 -3.5091 2.5738 -3.8581 3.6101" Properties=species:S:1:pos:R:3 pbc="T T T"
Cu 1.2019 -2.0688 -0.7195
Cu -0.0145 -4.3250 -2.2633
Cu 3.6013 -2.1400 -2.5061
Cu 2.3848 -4.3962 -4.0499
Cu 2.5123 -4.0331 1.1186
Cu 1.2959 -6.2893 -0.4253
Cu 4.9117 -4.1042 -0.6680
Cu 3.6952 -6.3604 -2.2119
Ga 1.1616 -2.2856 -3.2708
Ga 0.0922 -4.1448 0.2889
Ga 3.6432 -1.9989 0.0505
Ga 2.4486 -4.2146 -1.4657
Li 0.0000 0.0000 0.0000
Li -1.1947 -2.2157 -1.5162
Li 2.3563 -0.0698 -1.7546
Li 1.2869 -1.9290 1.8051
```

Results
total energy	-3.212	eV per atom
SG	Pm-3m (221)

=====

Below is SmInB after structural relaxation, with properties calculated at the PBE-GGA level.

Cell and atoms, written as extended XYZ:
```
3
Lattice="0.0000 3.3366 3.3366 3.3366 0.0000 3.3366 3.3366 3.3366 0.0000" Properties=species:S:1:pos:R:3 pbc="T T T"
B 1.6683 1.6683 1.6683
In 5.0049 5.0049 5.0049
Sm 0.0000 0.0000 0.0000
```

Results
E above lowest polymorph	0.847	eV per atom
SG	F-43m (216)

=====

Below is LaPuBe after structural relaxation, with properties calculated at the PBE-GGA level.

Cell and atoms, written as extended XYZ:
```
3
Lattice="0.0000 3.3306 3.3306 3.3306 0.0000 3.3306 3.3306 3.3306 0.0000" Properties=species:S:1:pos:R:3 pbc="T T T"
Be 1.6653 1.6653 1.6653
La 0.0000 0.0000 0.0000
Pu 4.9960 4.9960 4.9960
```

Results
E above lowest polymorph	0.078	eV per atom
SG	F-43m (216)

=====

Below is Co after structural relaxation, with properties calculated at the PBE-GGA level.

Cell and atoms, written as extended XYZ:
```
28
Lattice="8.3369 0.0000 0.0000 0.0000 8.3369 0.0000 0.0000 0.0000 4.5055" Properties=species:S:1:pos:R:3 pbc="T T T"
Co 6.2949 0.4318 0.0000
Co 3.9613 1.1476 0.0000
Co 7.9051 2.0419 0.0000
Co 3.3850 3.3850 0.0000
Co 1.1476 3.9613 0.0000
Co 7.1892 4.3755 0.0000
Co 4.9518 4.9518 0.0000
Co 0.4318 6.2949 0.0000
Co 4.3755 7.1892 0.0000
Co 2.0419 7.9051 0.0000
Co 5.7542 2.5827 1.1216
Co 2.5827 5.7542 1.1216
Co 1.5857 1.5857 1.1311
Co 6.7511 6.7511 1.1311
Co 5.3161 0.2071 2.2528
Co 7.5535 0.7834 2.2528
Co 3.7367 2.1265 2.2528
Co 8.1298 3.0208 2.2528
Co 2.1265 3.7367 2.2528
Co 6.2104 4.6002 2.2528
Co 0.2071 5.3161 2.2528
Co 4.6002 6.2104 2.2528
Co 0.7834 7.5535 2.2528
Co 3.0208 8.1298 2.2528
Co 1.5857 1.5857 3.3744
Co 6.7511 6.7511 3.3744
Co 5.7542 2.5827 3.3839
Co 2.5827 5.7542 3.3839
```

Results
E above lowest polymorph	0.129	eV per atom
SG	P4_2/mnm (136)
energy of formation	0.129	eV/atom

=====

Below is KCoTcAu after structural relaxation, with properties calculated at the PBE-GGA level.

Cell and atoms, written as extended XYZ:
```
4
Lattice="0.0000 3.3339 3.3339 3.3339 0.0000 3.3339 3.3339 3.3339 0.0000" Properties=species:S:1:pos:R:3 pbc="T T T"
Au 5.0008 5.0008 5.0008
Co 0.0000 0.0000 0.0000
K 1.6669 1.6669 1.6669
Tc 3.3339 3.3339 3.3339
```

Results
E above lowest polymorph	0.147	eV per atom
SG	F-43m (216)

=====

Below is Mg2Sc2CdCuAu2 after structural relaxation, with properties calculated at the PBE-GGA level.

Cell and atoms, written as extended XYZ:
```
8
Lattice="-2.2772 3.9252 1.2580 -0.4412 -1.6611 4.3842 5.8324 2.8496 1.6666" Properties=species:S:1:pos:R:3 pbc="T T T"
Au 0.0000 0.0000 0.0000
Au 1.5569 2.5568 3.6544
Cd -1.3592 1.1321 2.8211
Cu 2.9162 1.4248 0.8333
Mg 1.2964 -0.0894 2.6256
Mg 3.1768 4.0710 1.8621
Sc 0.4090 2.7187 1.0712
Sc 4.0641 1.2629 3.4165
```

Results
total energy	-3.862	eV per atom
SG	P-4m2 (115)

=====

Below is HgB4Os after structural relaxation, with properties calculated at the PBE-GGA level.

Cell and atoms, written as extended XYZ:
```
6
Lattice="-0.9379 2.6686 0.7968 -0.9404 -1.1982 -2.5131 -7.3936 -3.9932 4.6706" Properties=species:S:1:pos:R:3 pbc="T T T"
B -2.2782 0.6562 0.5396
B -2.2790 -0.6327 -0.5637
B -6.9929 -1.8901 3.5179
B -6.9937 -3.1791 2.4146
Hg -3.6968 -1.9966 2.3353
Os 0.0000 0.0000 0.0000
```

Results
E above lowest polymorph	0.000	eV per atom
SG	P6/mmm (191)

=====

Below is Zn2CoMo after structural relaxation, with properties calculated at the PBE-GGA level.

Cell and atoms, written as extended XYZ:
```
4
Lattice="0.0000 2.9982 2.9982 2.9982 0.0000 2.9982 2.9982 2.9982 0.0000" Properties=species:S:1:pos:R:3 pbc="T T T"
Co 4.4974 4.4974 4.4974
Mo 1.4991 1.4991 1.4991
Zn 0.0000 0.0000 0.0000
Zn 2.9983 2.9983 2.9983
```

Results
E above lowest polymorph	0.148	eV per atom
SG	Fm-3m (225)
energy of formation	0.296	eV/atom

=====

Below is Ba2TcWN6 after structural relaxation, with properties calculated at the PBE-GGA level.

Cell and atoms, written as extended XYZ:
```
20
Lattice="5.7425 0.0000 0.0000 0.0000 5.7567 0.0000 -5.7414 0.0000 8.0969" Properties=species:S:1:pos:R:3 pbc="T T T"
Ba 2.8701 0.0012 2.0237
Ba 0.0017 2.8795 2.0247
Ba -0.0006 2.8772 6.0722
Ba -2.8690 5.7555 6.0732
N 4.3090 1.4310 0.0027
N 4.3150 4.3189 0.0033
N 2.8660 2.8760 1.9862
N 0.0058 5.7544 2.0622
N -1.4432 1.4406 4.0451
N -1.4372 4.3093 4.0458
N 1.4383 1.4474 4.0511
N 1.4443 4.3162 4.0517
N -0.0047 0.0023 6.0347
N -2.8649 2.8807 6.1106
N -4.3139 1.4378 8.0936
N -4.3079 4.3258 8.0942
Tc 2.8713 2.8784 0.0000
Tc 0.0006 0.0000 4.0484
W 0.0000 0.0000 0.0000
W -2.8707 2.8784 4.0484
```

Results
total energy	-7.950	eV per atom
SG	C2/m (12)

=====

Below is RbZrBeS3 after structural relaxation, with properties calculated at the PBE-GGA level.

Cell and atoms, written as extended XYZ:
```
12
Lattice="1.4876 4.0932 6.4019 -4.7278 -2.7716 -5.4697 -1.6954 -8.0772 5.5583" Properties=species:S:1:pos:R:3 pbc="T T T"
Be -1.7877 -1.0755 2.3452
Be -3.1479 -5.6802 4.1453
Rb -3.5202 -2.9889 -0.9639
Rb -1.4154 -3.7667 7.4544
S -1.0187 0.8737 2.2545
S 0.7763 1.7564 7.2424
S -1.6198 -1.9900 4.2252
S -3.3158 -4.7657 2.2653
S -5.7119 -8.5120 -0.7519
S -3.9169 -7.6294 4.2360
Zr 0.0000 0.0000 0.0000
Zr -0.8477 -4.0386 2.7792
```

Results
total energy	-5.556	eV per atom
SG	Cmcm (63)

=====

Below is AcTmAs after structural relaxation, with properties calculated at the PBE-GGA level.

Cell and atoms, written as extended XYZ:
```
3
Lattice="0.0000 3.7765 3.7765 3.7765 0.0000 3.7765 3.7765 3.7765 0.0000" Properties=species:S:1:pos:R:3 pbc="T T T"
Ac 0.0000 0.0000 0.0000
As 1.8882 1.8882 1.8882
Tm 5.6647 5.6647 5.6647
```

Results
E above lowest polymorph	0.925	eV per atom
SG	F-43m (216)

=====

Below is HfCu4Pd after structural relaxation, with properties calculated at the PBE-GGA level.

Cell and atoms, written as extended XYZ:
```
6
Lattice="-2.4332 -3.1587 2.7863 -2.2687 1.5447 4.0160 -4.8603 0.1308 0.1500" Properties=species:S:1:pos:R:3 pbc="T T T"
Cu -4.8025 -2.1403 4.0020
Cu -3.5818 -0.5556 2.6042
Cu -4.7200 0.2194 4.6190
Cu -6.0201 -0.4899 2.6794
Hf -7.1717 -1.1124 5.2142
Pd 0.0000 0.0000 0.0000
```

Results
SG	F-43m (216)
energy of formation	-0.321	eV/atom